(1)
VASP calculation (PBE) on a relaxed structure of Tb2HgAs.

```
Tb2HgAs
1.0
-1.588 3.079 2.074
-3.623 1.464 -1.017
-5.079 -3.432 5.136
As Tb Hg
1 2 1
Direct
0.000 0.000 0.000
0.261 0.261 0.218
0.739 0.739 0.782
0.500 0.500 0.500
```

Output
E above lowest polymorph (kJ/mol of atoms): 0.0

(2)
VASP calculation (PBE) on a relaxed structure of Pm4NdHoS8.

```
Pm4NdHoS8
1.0
-6.948 -0.910 4.388
-2.878 -7.571 1.662
0.313 -2.949 7.674
Pm Nd Ho S
4 1 1 8
Direct
0.624 0.624 0.129
0.000 0.501 0.500
0.501 0.000 0.500
0.000 0.000 0.500
0.376 0.376 0.871
0.000 0.000 0.000
0.236 0.779 0.750
0.779 0.236 0.750
0.236 0.236 0.750
0.243 0.243 0.272
0.764 0.224 0.249
0.224 0.764 0.249
0.764 0.764 0.249
0.756 0.756 0.731
```

Output
Formation energy (no corrections) (kJ per mole of atoms): -185.1